# CsCoIr2Pd

A relaxed structure of CsCoIr2Pd (PBE, Alexandria via LeMat-Bulk).

Geometry as POSCAR:
```
CsCoIr2Pd
1.0
4.454 0.000 0.000
0.000 5.978 0.000
0.000 0.000 4.454
Cs Ir Co Pd
1 2 1 1
Direct
0.000 0.500 0.000 Cs
0.000 0.000 0.500 Ir
0.500 0.000 0.000 Ir
0.000 0.000 0.000 Co
0.500 0.500 0.500 Pd
```

Computed properties:
- V: 118.6 Å³ per cell
- Magnetic moment: 0.24 μB per cell
- DOS(E_F): 5.27 states/eV/cell
- Energy: -4.634 eV/atom